DFT (PBE-GGA) results for crystalline In2BiPb6 at its relaxed geometry.

Summary:
- V: 30.781 A^3/atom
- Energy of formation: 0.013 eV per atom
- Energy above the most stable polymorph in this dataset: 0.000 eV/atom

Unit cell a=11.541 b=4.711 c=10.751 alpha=90.00 beta=108.60 gamma=90.00
Space group C2/m (No. 12)
One atom of each set of equivalent atoms:
In (0.169, 0.000, 0.055) [4 per cell]
Bi (0.000, 0.500, 0.500) [2 per cell]
Pb (0.003, 0.500, 0.840) [4 per cell]
Pb (0.162, 0.000, 0.388) [4 per cell]
Pb (0.171, 0.000, 0.726) [4 per cell]

DFT (PBE-GGA) results for crystalline In4Bi4Pb at its relaxed geometry.

Summary:
- V: 30.285 A^3/atom
- Energy of formation: 0.063 eV per atom

Unit cell a=10.125 b=10.125 c=5.317 alpha=90.00 beta=90.00 gamma=90.00
Space group I4/m (No. 87)
One atom of each set of equivalent atoms:
In (0.166, 0.832, 0.000) [8 per cell]
Bi (0.002, 0.667, 0.500) [8 per cell]
Pb (0.000, 0.000, 0.500) [2 per cell]

DFT (PBE-GGA) results for crystalline In5BiPb4 at its relaxed geometry.

Summary:
- V: 32.777 A^3/atom
- Energy of formation: 0.084 eV per atom

Unit cell a=17.698 b=4.444 c=10.105 alpha=90.00 beta=124.42 gamma=90.00
Space group C2/m (No. 12)
One atom of each set of equivalent atoms:
In (0.000, 0.000, 0.000) [2 per cell]
In (0.168, 0.500, 0.174) [4 per cell]
In (0.177, 0.500, 0.658) [4 per cell]
Bi (0.000, 0.000, 0.500) [2 per cell]
Pb (0.019, 0.500, 0.266) [4 per cell]
Pb (0.161, 0.000, 0.908) [4 per cell]

DFT (PBE-GGA) results for crystalline In3Bi2Pb3 at its relaxed geometry.

Summary:
- V: 30.397 A^3/atom
- Energy of formation: 0.018 eV per atom
- Energy above the most stable polymorph in this dataset: 0.000 eV/atom

Unit cell a=5.030 b=5.106 c=9.468 alpha=90.00 beta=90.00 gamma=90.00
Space group Pmmm (No. 47)
One atom of each set of equivalent atoms:
In (0.000, 0.000, 0.000) [1 per cell]
In (0.000, 0.000, 0.500) [1 per cell]
In (0.500, 0.500, 0.000) [1 per cell]
Bi (0.000, 0.500, 0.251) [2 per cell]
Pb (0.500, 0.000, 0.244) [2 per cell]
Pb (0.500, 0.500, 0.500) [1 per cell]

DFT (PBE-GGA) results for crystalline In3BiPb at its relaxed geometry.

Summary:
- V: 29.459 A^3/atom
- Energy of formation: 0.021 eV per atom
- Energy above the most stable polymorph in this dataset: 0.000 eV/atom

Unit cell a=6.104 b=6.171 c=8.848 alpha=105.90 beta=106.03 gamma=101.24
Space group P-1 (No. 2)
One atom of each set of equivalent atoms:
In (0.161, 0.309, 0.053) [2 per cell]
In (0.247, 0.501, 0.748) [2 per cell]
In (0.339, 0.690, 0.451) [2 per cell]
Bi (0.049, 0.091, 0.342) [2 per cell]
Pb (0.445, 0.901, 0.155) [2 per cell]

DFT (PBE-GGA) results for crystalline InBi6Pb12 at its relaxed geometry.

Summary:
- V: 32.669 A^3/atom
- Energy of formation: 0.066 eV per atom
- Energy above the most stable polymorph in this dataset: 0.000 eV/atom

Unit cell a=12.3326 b=12.3326 c=14.1376 alpha=90.00 beta=90.00 gamma=120.00
Space group R-3 (No. 148, hexagonal axes)
One atom of each set of equivalent atoms:
In (0.0000, 0.0000, 0.0000) [3 per cell]
Bi (0.0210, 0.5873, 0.7191) [18 per cell]
Pb (0.0349, 0.8422, 0.8204) [18 per cell]
Pb (0.0610, 0.2014, 0.4049) [18 per cell]

DFT (PBE-GGA) results for crystalline InBi5Pb4 at its relaxed geometry.

Summary:
- V: 33.869 A^3/atom
- Energy of formation: 0.078 eV per atom

Unit cell a=4.786 b=6.974 c=10.415 alpha=92.07 beta=102.82 gamma=90.14
Space group P-1 (No. 2)
One atom of each set of equivalent atoms:
In (0.000, 0.000, 0.000) [1 per cell]
Bi (0.000, 0.500, 0.000) [1 per cell]
Bi (0.272, 0.632, 0.546) [2 per cell]
Bi (0.398, 0.263, 0.800) [2 per cell]
Pb (0.177, 0.998, 0.358) [2 per cell]
Pb (0.430, 0.765, 0.855) [2 per cell]

DFT (PBE-GGA) results for crystalline In3Bi2Pb at its relaxed geometry.

Summary:
- V: 30.692 A^3/atom
- Energy of formation: 0.012 eV per atom
- Energy above the most stable polymorph in this dataset: 0.000 eV/atom

Unit cell a=4.863 b=10.641 c=7.118 alpha=90.00 beta=90.00 gamma=90.00
Space group Pmc2_1 (No. 26)
One atom of each set of equivalent atoms:
In (0.000, 0.022, 0.000) [2 per cell]
In (0.000, 0.333, 0.410) [2 per cell]
In (0.500, 0.154, 0.738) [2 per cell]
Bi (0.000, 0.342, 0.854) [2 per cell]
Bi (0.500, 0.158, 0.281) [2 per cell]
Pb (0.500, 0.474, 0.157) [2 per cell]